A plane-wave DFT calculation with PBE was carried out for a relaxed structure of CeHPb.

The total DFT energy (no corrections) comes out at -0.3420 Ry per atom. The density of states at the Fermi level comes out at 1.88 states/eV/atom.

The space group is Pnma (No. 62) and the conventional cell measures 11.3878, 3.5877 and 6.3135 Å, with angles of 90.00, 90.00 and 90.00 degrees. The inequivalent atoms are Ce at (0.1777, 0.2500, 0.1719), H at (0.2102, 0.7500, 0.3727) and Pb at (0.0638, 0.2500, 0.6879).